# 1
This record from Alexandria describes crystalline Sc2TcHg at its relaxed geometry. The functional is GGA-PBEsol.

Calculated values
V: 18.5 A^3/atom
crystal system: tetragonal
density of states at the Fermi level: 0.918 states/eV/atom
energy of formation from the pure elements: -0.398 eV/atom
mass density: 8.73 Mg/m³

Cell: 3.296 3.296 6.802 Å, 90.00 90.00 90.00°
Element x y z (fractional)
Sc (0.000, 0.000, 0.218)
Sc (0.000, 0.000, 0.782)
Tc (0.500, 0.500, 0.000)
Hg (0.500, 0.500, 0.500)

=====

# 2
This record from Alexandria describes crystalline Na7Ni10O20 at its relaxed geometry. The functional is GGA-PBEsol.

Calculated values
V: 10.3 A^3/atom
raw formation energy: -40.16 eV per formula unit
crystal system: triclinic
density of states at the Fermi level: 0.504 states/eV/atom
mass density: 4.64 Mg/m³

Cell: 2.906 10.843 12.812 Å, 108.71 90.30 90.11°
Element x y z (fractional)
Na (0.000, 0.000, 0.000)
Na (0.023, 0.406, 0.826)
Na (0.477, 0.125, 0.238)
Na (0.489, 0.288, 0.569)
Na (0.511, 0.712, 0.431)
Na (0.523, 0.875, 0.762)
Na (0.977, 0.594, 0.174)
Ni (0.000, 0.500, 0.500)
Ni (0.004, 0.097, 0.699)
Ni (0.015, 0.701, 0.901)
Ni (0.491, 0.413, 0.297)
Ni (0.497, 0.811, 0.100)
Ni (0.500, 0.000, 0.500)
Ni (0.503, 0.189, 0.900)
Ni (0.509, 0.587, 0.703)
Ni (0.985, 0.299, 0.099)
Ni (0.996, 0.903, 0.301)
O (0.002, 0.466, 0.652)
O (0.016, 0.709, 0.758)
O (0.019, 0.880, 0.440)
O (0.025, 0.693, 0.042)
O (0.034, 0.066, 0.838)
O (0.471, 0.783, 0.239)
O (0.479, 0.980, 0.638)
O (0.482, 0.421, 0.153)
O (0.487, 0.174, 0.047)
O (0.498, 0.390, 0.434)
O (0.502, 0.610, 0.566)
O (0.513, 0.826, 0.953)
O (0.518, 0.579, 0.847)
O (0.521, 0.020, 0.362)
O (0.529, 0.217, 0.761)
O (0.966, 0.934, 0.162)
O (0.975, 0.307, 0.958)
O (0.981, 0.120, 0.560)
O (0.984, 0.291, 0.242)
O (0.998, 0.534, 0.348)

=====

# 3
This record from Alexandria describes crystalline BaInTe2 at its relaxed geometry. The functional is GGA-PBEsol.

Calculated values
V: 35.9 A^3/atom
raw formation energy: -3.39 eV per formula unit
crystal system: trigonal
density of states at the Fermi level: 1.148 states/eV/atom
mass density: 5.86 Mg/m³

Cell: 8.277 8.277 8.277 Å, 32.27 32.27 32.27°
Element x y z (fractional)
Ba (0.000, 0.000, 0.000)
In (0.500, 0.500, 0.500)
Te (0.240, 0.240, 0.240)
Te (0.760, 0.760, 0.760)

=====

# 4
This record from Alexandria describes crystalline CaTa2Se at its relaxed geometry. The functional is GGA-PBEsol.

Calculated values
V: 20.7 A^3/atom
raw formation energy: -0.30 eV per formula unit
crystal system: tetragonal
density of states at the Fermi level: 1.402 states/eV/atom
mass density: 9.66 Mg/m³

Cell: 3.403 3.403 7.137 Å, 90.00 90.00 90.00°
Element x y z (fractional)
Ca (0.000, 0.000, 0.000)
Ta (0.000, 0.000, 0.492)
Ta (0.500, 0.500, 0.683)
Se (0.500, 0.500, 0.287)

=====

# 5
This record from Alexandria describes crystalline Mg2FeW at its relaxed geometry. The functional is GGA-PBEsol.

Calculated values
V: 15.7 A^3/atom
crystal system: orthorhombic
density of states at the Fermi level: 0.662 states/eV/atom
energy of formation from the pure elements: 0.522 eV/atom
mass density: 7.62 Mg/m³

Cell: 5.191 5.191 2.642 Å, 90.00 90.00 118.02°
Element x y z (fractional)
Mg (0.000, 0.500, 0.000)
Mg (0.500, 0.000, 0.000)
Fe (0.000, 0.000, 0.500)
W (0.500, 0.500, 0.500)

=====

# 6
This record from Alexandria describes crystalline TeSe2I at its relaxed geometry. The functional is GGA-PBEsol.

Calculated values
V: 31.5 A^3/atom
raw formation energy: 0.35 eV per formula unit
crystal system: trigonal
density of states at the Fermi level: 0.477 states/eV/atom
mass density: 5.44 Mg/m³

Cell: 9.320 9.320 9.320 Å, 24.87 24.87 24.87°
Element x y z (fractional)
Te (0.000, 0.000, 0.000)
Se (0.397, 0.397, 0.397)
Se (0.603, 0.603, 0.603)
I (0.500, 0.500, 0.500)

=====

Q: The lowest mass density belongs to which entry?
A: Na7Ni10O20

=====

Copy entry 2 word for word.
This record from Alexandria describes crystalline Na7Ni10O20 at its relaxed geometry. The functional is GGA-PBEsol.

Calculated values
V: 10.3 A^3/atom
raw formation energy: -40.16 eV per formula unit
crystal system: triclinic
density of states at the Fermi level: 0.504 states/eV/atom
mass density: 4.64 Mg/m³

Cell: 2.906 10.843 12.812 Å, 108.71 90.30 90.11°
Element x y z (fractional)
Na (0.000, 0.000, 0.000)
Na (0.023, 0.406, 0.826)
Na (0.477, 0.125, 0.238)
Na (0.489, 0.288, 0.569)
Na (0.511, 0.712, 0.431)
Na (0.523, 0.875, 0.762)
Na (0.977, 0.594, 0.174)
Ni (0.000, 0.500, 0.500)
Ni (0.004, 0.097, 0.699)
Ni (0.015, 0.701, 0.901)
Ni (0.491, 0.413, 0.297)
Ni (0.497, 0.811, 0.100)
Ni (0.500, 0.000, 0.500)
Ni (0.503, 0.189, 0.900)
Ni (0.509, 0.587, 0.703)
Ni (0.985, 0.299, 0.099)
Ni (0.996, 0.903, 0.301)
O (0.002, 0.466, 0.652)
O (0.016, 0.709, 0.758)
O (0.019, 0.880, 0.440)
O (0.025, 0.693, 0.042)
O (0.034, 0.066, 0.838)
O (0.471, 0.783, 0.239)
O (0.479, 0.980, 0.638)
O (0.482, 0.421, 0.153)
O (0.487, 0.174, 0.047)
O (0.498, 0.390, 0.434)
O (0.502, 0.610, 0.566)
O (0.513, 0.826, 0.953)
O (0.518, 0.579, 0.847)
O (0.521, 0.020, 0.362)
O (0.529, 0.217, 0.761)
O (0.966, 0.934, 0.162)
O (0.975, 0.307, 0.958)
O (0.981, 0.120, 0.560)
O (0.984, 0.291, 0.242)
O (0.998, 0.534, 0.348)

=====

Q: The highest V belongs to which entry?
A: BaInTe2

=====

What did the third record say?
This record from Alexandria describes crystalline BaInTe2 at its relaxed geometry. The functional is GGA-PBEsol.

Calculated values
V: 35.9 A^3/atom
raw formation energy: -3.39 eV per formula unit
crystal system: trigonal
density of states at the Fermi level: 1.148 states/eV/atom
mass density: 5.86 Mg/m³

Cell: 8.277 8.277 8.277 Å, 32.27 32.27 32.27°
Element x y z (fractional)
Ba (0.000, 0.000, 0.000)
In (0.500, 0.500, 0.500)
Te (0.240, 0.240, 0.240)
Te (0.760, 0.760, 0.760)